{"formula": "BaAg2Pd3", "functional": "PBE", "state": "optimized geometry", "energy_ev_per_atom": -4.186, "space_group": "P6/mmm", "lattice": [[5.6278, 0.0000, 0.0000], [-2.8139, 4.8738, 0.0000], [0.0000, 0.0000, 4.4639]], "species": ["Ag", "Ag", "Ba", "Pd", "Pd", "Pd"], "frac_coords": [[0.6667, 0.3333, 0.0000], [0.3333, 0.6667, 0.0000], [0.0000, 0.0000, 0.0000], [0.5000, 0.0000, 0.5000], [0.0000, 0.5000, 0.5000], [0.5000, 0.5000, 0.5000]]}

---

{"formula": "Ba2AgPd", "functional": "PBE", "state": "optimized geometry", "de_polymorph_ev_per_atom": 0.000, "space_group": "P2_1/m", "lattice": [[6.5781, 0.0000, 0.0000], [0.0000, 4.8361, 0.0000], [-3.1998, 0.0000, 8.5042]], "species": ["Ag", "Ag", "Ba", "Ba", "Ba", "Ba", "Pd", "Pd"], "frac_coords": [[0.8587, 0.7500, 0.2163], [0.1413, 0.2500, 0.7837], [0.2693, 0.7500, 0.0747], [0.7207, 0.2500, 0.4364], [0.2793, 0.7500, 0.5636], [0.7307, 0.2500, 0.9253], [0.1323, 0.2500, 0.2838], [0.8677, 0.7500, 0.7162]]}